# CsHgBiPb

CsHgBiPb after structural relaxation (PBE-GGA, Alexandria).

abc: 5.052 5.052 8.378
angles: 72.45 72.45 60.00
Element x y z (fractional)
Hg1 0.249 0.249 0.252
Pb1 0.635 0.635 0.094
Bi1 0.028 0.028 0.916
Cs1 0.813 0.813 0.561

Summary:
Energy ... -9.519 eV/f.u.
Relative energy among the computed polymorphs ... 0 meV per atom
Energy of formation from the pure elements ... -194 meV/atom